TlH17AuC20S3NCl10 | PBE | relaxed

Properties
**Final energy**: -0.200 Ha/atom

a = 8.399 Å, b = 11.548 Å, c = 16.877 Å
α = 94.02°, β = 101.52°, γ = 99.20°
Space group P-1 (No. 2)
Symmetry-distinct sites (fractional):
Tl 0.206 0.476 0.103 x2
H 0.008 0.335 0.726 x2
H 0.009 0.589 0.362 x2
H 0.011 0.347 0.351 x2
H 0.073 0.791 0.782 x2
H 0.085 0.174 0.292 x2
H 0.206 0.394 0.327 x2
H 0.263 0.727 0.372 x2
H 0.306 0.582 0.363 x2
H 0.316 0.484 0.692 x2
H 0.361 0.684 0.763 x2
H 0.383 0.291 0.298 x2
H 0.390 0.310 0.765 x2
H 0.405 0.302 0.662 x2
H 0.417 0.164 0.243 x2
H 0.428 0.514 0.838 x2
H 0.480 0.481 0.323 x2
H 0.492 0.709 0.861 x2
Au 0.500 0.500 0.000 x1
Au 0.500 0.500 0.500 x1
C 0.055 0.240 0.251 x2
C 0.056 0.601 0.306 x2
C 0.075 0.359 0.300 x2
C 0.241 0.646 0.330 x2
C 0.281 0.146 0.877 x2
C 0.309 0.263 0.912 x2
C 0.346 0.118 0.434 x2
C 0.359 0.235 0.467 x2
C 0.369 0.716 0.555 x2
C 0.375 0.833 0.588 x2
C 0.385 0.252 0.237 x2
C 0.413 0.084 0.888 x2
C 0.413 0.747 0.028 x2
C 0.432 0.863 0.064 x2
C 0.446 0.480 0.719 x2
C 0.459 0.350 0.722 x2
C 0.461 0.321 0.960 x2
C 0.479 0.085 0.404 x2
C 0.484 0.674 0.798 x2
C 0.497 0.323 0.471 x2
S 0.014 0.535 0.761 x2
S 0.178 0.233 0.174 x2
S 0.334 0.682 0.244 x2
N 0.499 0.549 0.799 x2
Cl 0.092 0.081 0.819 x2
Cl 0.145 0.339 0.895 x2
Cl 0.169 0.016 0.426 x2
Cl 0.187 0.616 0.546 x2
Cl 0.194 0.272 0.505 x2
Cl 0.210 0.875 0.620 x2
Cl 0.224 0.687 0.964 x2
Cl 0.271 0.939 0.053 x2
Cl 0.384 0.941 0.844 x2
Cl 0.460 0.947 0.355 x2